Arrangement A

{
  "formula": "Sr2IrBr2",
  "functional": "GGA-PBE",
  "state": "relaxed",
  "lattice": [[-5.369, -6.253, -1.030], [1.324, 0.214, -8.197], [3.367, -2.968, 0.466]],
  "species": ["Sr", "Br", "Br", "Br", "Sr", "Br", "Sr", "Ir", "Ir", "Sr"],
  "fractional_positions": [[0.680, 0.180, 0.000], [0.860, 0.360, 0.500], [0.140, 0.640, 0.500], [0.640, 0.860, 0.500], [0.320, 0.820, 0.000], [0.360, 0.140, 0.500], [0.820, 0.680, 0.000], [0.500, 0.500, 0.000], [0.000, 0.000, 0.000], [0.180, 0.320, 0.000]],
  "total_magnetization_mub_per_fu": 1.000,
  "dos_at_fermi_per_ev_fu": 0.0
}

***

Arrangement B

{
  "formula": "Sr2IrBr2",
  "functional": "GGA-PBE",
  "state": "relaxed",
  "lattice": [[-1.387, -3.357, 2.944], [3.787, 0.749, 2.637], [-2.631, 3.826, 6.834]],
  "species": ["Sr", "Ir", "Br", "Br", "Sr"],
  "fractional_positions": [[0.380, 0.380, 0.240], [0.000, 0.000, 0.000], [0.250, 0.750, 0.500], [0.750, 0.250, 0.500], [0.620, 0.620, 0.760]],
  "total_magnetization_mub_per_fu": 1.000,
  "dos_at_fermi_per_ev_fu": 2.0
}

***

We find arrangement A to be the most stable, with the next structure 17.0 kJ/mol of atoms higher.

***

Arrangement A

{
  "formula": "SrIrBr2",
  "functional": "GGA-PBE",
  "state": "relaxed",
  "lattice": [[5.185, 0.000, 0.000], [0.000, 5.185, 0.000], [2.592, 2.592, 8.407]],
  "species": ["Br", "Br", "Ir", "Ir", "Sr", "Br", "Br", "Sr"],
  "fractional_positions": [[0.875, 0.945, 0.750], [0.375, 0.305, 0.750], [0.750, 0.250, 0.500], [0.000, 0.000, 0.000], [0.250, 0.750, 0.500], [0.695, 0.125, 0.250], [0.055, 0.625, 0.250], [0.500, 0.500, 0.000]],
  "total_magnetization_mub_per_fu": 0.000,
  "dos_at_fermi_per_ev_fu": 2.8
}

***

Arrangement B

{
  "formula": "SrIrBr2",
  "functional": "GGA-PBE",
  "state": "relaxed",
  "lattice": [[5.976, 0.016, -0.013], [4.622, 3.788, -0.013], [-0.356, -0.128, 5.264]],
  "species": ["Sr", "Br", "Br", "Ir"],
  "fractional_positions": [[0.253, 0.253, 0.236], [0.975, 0.975, 0.160], [0.722, 0.722, 0.721], [0.550, 0.550, 0.383]],
  "total_magnetization_mub_per_fu": 0.000,
  "dos_at_fermi_per_ev_fu": 1.7
}

***

Arrangement C

{
  "formula": "SrIrBr2",
  "functional": "GGA-PBE",
  "state": "relaxed",
  "lattice": [[8.238, 0.023, 0.014], [7.144, 4.102, 0.014], [7.144, 1.916, 3.627]],
  "species": ["Br", "Sr", "Ir", "Br"],
  "fractional_positions": [[0.018, 0.018, 0.018], [0.761, 0.761, 0.761], [0.518, 0.518, 0.518], [0.203, 0.203, 0.203]],
  "total_magnetization_mub_per_fu": 0.000,
  "dos_at_fermi_per_ev_fu": 3.1
}

***

Arrangement D

{
  "formula": "SrIrBr2",
  "functional": "GGA-PBE",
  "state": "relaxed",
  "lattice": [[5.878, 0.000, 0.000], [4.039, 4.271, 0.000], [4.039, 1.739, 3.900]],
  "species": ["Br", "Sr", "Br", "Ir"],
  "fractional_positions": [[0.519, 0.519, 0.519], [0.750, 0.750, 0.750], [0.981, 0.981, 0.981], [0.250, 0.250, 0.250]],
  "total_magnetization_mub_per_fu": 1.003,
  "dos_at_fermi_per_ev_fu": 1.9
}

***

We find arrangement C to be the most stable, with the next structure 5.3 kJ/mol of atoms higher.

***

Arrangement A

{
  "formula": "SrIrBr2",
  "functional": "GGA-PBE",
  "state": "relaxed",
  "lattice": [[4.224, 0.000, 0.000], [0.000, 5.058, 0.002], [0.000, 0.688, 5.034]],
  "species": ["Br", "Sr", "Ir", "Br"],
  "fractional_positions": [[0.000, 0.045, 0.045], [0.500, 0.750, 0.750], [0.500, 0.250, 0.250], [0.000, 0.455, 0.455]],
  "total_magnetization_mub_per_fu": 0.871,
  "dos_at_fermi_per_ev_fu": 0.7
}

***

Arrangement B

{
  "formula": "SrIrBr2",
  "functional": "GGA-PBE",
  "state": "relaxed",
  "lattice": [[-7.405, -1.447, 0.903], [-5.331, -4.698, 2.695], [0.336, 2.382, 3.931]],
  "species": ["Ir", "Sr", "Br", "Br"],
  "fractional_positions": [[0.750, 0.750, 0.750], [0.250, 0.250, 0.250], [0.603, 0.603, 0.483], [0.897, 0.897, 0.017]],
  "total_magnetization_mub_per_fu": 1.009,
  "dos_at_fermi_per_ev_fu": 4.7
}

***

Arrangement C

{
  "formula": "SrIrBr2",
  "functional": "GGA-PBE",
  "state": "relaxed",
  "lattice": [[-2.710, 2.173, -1.211], [-2.415, -2.729, 0.499], [-1.358, 2.615, 7.735]],
  "species": ["Br", "Br", "Sr", "Ir"],
  "fractional_positions": [[0.500, 0.500, 0.380], [0.000, 0.000, 0.941], [0.500, 0.500, 0.735], [0.000, 0.000, 0.444]],
  "total_magnetization_mub_per_fu": 0.000,
  "dos_at_fermi_per_ev_fu": 1.6
}

***

Arrangement D

{
  "formula": "SrIrBr2",
  "functional": "GGA-PBE",
  "state": "relaxed",
  "lattice": [[-1.022, -6.459, 5.268], [2.999, -7.615, 1.880], [0.533, 8.209, -1.688]],
  "species": ["Br", "Ir", "Sr", "Br"],
  "fractional_positions": [[0.723, 0.223, 0.500], [0.474, 0.474, 0.000], [0.319, 0.819, 0.500], [0.984, 0.984, 0.000]],
  "total_magnetization_mub_per_fu": 0.000,
  "dos_at_fermi_per_ev_fu": 2.5
}

***

We find arrangement B to be the most stable, with the next structure 15.3 kJ/mol of atoms higher.

***

Arrangement A

{
  "formula": "SrIrBr",
  "functional": "GGA-PBE",
  "state": "relaxed",
  "lattice": [[-1.596, 1.725, -6.259], [0.797, -0.692, -6.601], [-2.402, -2.244, -0.940]],
  "species": ["Sr", "Br", "Ir"],
  "fractional_positions": [[0.668, 0.668, 0.332], [0.002, 0.002, 0.998], [0.330, 0.330, 0.670]],
  "total_magnetization_mub_per_fu": 0.760,
  "dos_at_fermi_per_ev_fu": 4.3
}

***

Arrangement B

{
  "formula": "SrIrBr",
  "functional": "GGA-PBE",
  "state": "relaxed",
  "lattice": [[-0.954, 4.131, -0.066], [-11.984, -0.625, 0.329], [0.033, 2.129, 3.666]],
  "species": ["Sr", "Br", "Ir", "Br", "Ir", "Sr"],
  "fractional_positions": [[0.774, 0.954, 0.855], [0.790, 0.407, 0.331], [0.230, 0.755, 0.115], [0.337, 0.103, 0.566], [0.580, 0.755, 0.465], [0.032, 0.557, 0.722]],
  "total_magnetization_mub_per_fu": 0.000,
  "dos_at_fermi_per_ev_fu": 1.7
}

***

We find arrangement B to be the most stable, with the next structure 115.0 kJ/mol of atoms higher.

***

Arrangement A

{
  "formula": "SrIrBr3",
  "functional": "GGA-PBE",
  "state": "relaxed",
  "lattice": [[-1.807, 3.627, -3.207], [1.197, -2.982, -4.047], [-4.691, -2.158, 0.202]],
  "species": ["Sr", "Br", "Ir", "Br", "Br"],
  "fractional_positions": [[0.500, 0.500, 0.500], [0.000, 0.000, 0.500], [0.000, 0.000, 0.000], [0.500, 0.000, 0.000], [0.000, 0.500, 0.000]],
  "total_magnetization_mub_per_fu": 0.000,
  "dos_at_fermi_per_ev_fu": 1.2
}

***

Arrangement B

{
  "formula": "SrIrBr3",
  "functional": "GGA-PBE",
  "state": "relaxed",
  "lattice": [[-5.554, -1.398, 1.474], [1.852, -1.717, 5.347], [-0.836, 5.483, 2.050]],
  "species": ["Sr", "Ir", "Br", "Br", "Br"],
  "fractional_positions": [[0.000, 0.000, 0.000], [0.500, 0.500, 0.500], [0.000, 0.500, 0.000], [0.500, 0.000, 0.000], [0.000, 0.000, 0.500]],
  "total_magnetization_mub_per_fu": 4.000,
  "dos_at_fermi_per_ev_fu": 0.3
}

***

We find arrangement A to be the most stable, with the next structure 71.3 kJ/mol of atoms higher.

***

Arrangement A

{
  "formula": "TaIr3Br",
  "functional": "GGA-PBE",
  "state": "relaxed",
  "lattice": [[4.574, 0.000, 0.000], [0.000, 4.574, 0.000], [0.000, 0.000, 4.574]],
  "species": ["Ir", "Br", "Ir", "Ir", "Ta"],
  "fractional_positions": [[0.500, 0.000, 0.000], [0.000, 0.000, 0.000], [0.000, 0.500, 0.000], [0.000, 0.000, 0.500], [0.500, 0.500, 0.500]],
  "total_magnetization_mub_per_fu": 0.000,
  "dos_at_fermi_per_ev_fu": 8.3
}

***

Arrangement B

{
  "formula": "TaIr3Br",
  "functional": "GGA-PBE",
  "state": "relaxed",
  "lattice": [[4.855, 0.000, 0.000], [0.000, 4.855, 0.000], [0.000, 0.000, 4.855]],
  "species": ["Ir", "Ir", "Ir", "Br", "Ta"],
  "fractional_positions": [[0.000, 0.500, 0.000], [0.000, 0.000, 0.500], [0.500, 0.000, 0.000], [0.500, 0.500, 0.500], [0.000, 0.000, 0.000]],
  "total_magnetization_mub_per_fu": 0.595,
  "dos_at_fermi_per_ev_fu": 6.9
}

***

We find arrangement B to be the most stable, with the next structure 11.2 kJ/mol of atoms higher.

***

Arrangement A

{
  "formula": "TcIr2Br",
  "functional": "GGA-PBE",
  "state": "relaxed",
  "lattice": [[-2.015, -0.483, -1.923], [1.981, -0.385, -1.980], [0.223, -8.036, 1.787]],
  "species": ["Ir", "Tc", "Br", "Ir"],
  "fractional_positions": [[0.000, 0.000, 0.467], [0.500, 0.500, 0.250], [0.500, 0.500, 0.750], [0.000, 0.000, 0.033]],
  "total_magnetization_mub_per_fu": 0.000,
  "dos_at_fermi_per_ev_fu": 3.4
}

***

Arrangement B

{
  "formula": "TcIr2Br",
  "functional": "GGA-PBE",
  "state": "relaxed",
  "lattice": [[-2.279, -1.530, 3.535], [-1.833, -4.081, -0.115], [1.705, -3.290, 2.509]],
  "species": ["Tc", "Br", "Ir", "Ir"],
  "fractional_positions": [[0.750, 0.750, 0.750], [0.500, 0.500, 0.500], [0.000, 0.000, 0.000], [0.250, 0.250, 0.250]],
  "total_magnetization_mub_per_fu": 1.527,
  "dos_at_fermi_per_ev_fu": 5.5
}

***

Arrangement C

{
  "formula": "TcIr2Br",
  "functional": "GGA-PBE",
  "state": "relaxed",
  "lattice": [[0.000, 3.192, 3.192], [3.192, 0.000, 3.192], [3.192, 3.192, 0.000]],
  "species": ["Tc", "Ir", "Ir", "Br"],
  "fractional_positions": [[0.500, 0.500, 0.500], [0.750, 0.750, 0.750], [0.250, 0.250, 0.250], [0.000, 0.000, 0.000]],
  "total_magnetization_mub_per_fu": 2.085,
  "dos_at_fermi_per_ev_fu": 5.6
}

***

We find arrangement A to be the most stable, with the next structure 48.0 kJ/mol of atoms higher.

***

Arrangement A

{
  "formula": "TcIr2Br",
  "functional": "GGA-PBE",
  "state": "relaxed",
  "lattice": [[5.119, -0.011, -0.001], [4.318, 2.748, -0.001], [0.240, 0.070, 4.494]],
  "species": ["Tc", "Ir", "Br", "Ir"],
  "fractional_positions": [[0.750, 0.750, 0.750], [0.474, 0.474, 0.516], [0.250, 0.250, 0.250], [0.026, 0.026, 0.984]],
  "total_magnetization_mub_per_fu": 0.000,
  "dos_at_fermi_per_ev_fu": 3.7
}

***

Arrangement B

{
  "formula": "TcIr2Br",
  "functional": "GGA-PBE",
  "state": "relaxed",
  "lattice": [[-0.147, 4.093, -0.737], [-3.864, -0.201, -0.346], [-0.376, 0.672, 3.808]],
  "species": ["Br", "Ir", "Tc", "Ir"],
  "fractional_positions": [[0.500, 0.000, 0.500], [0.000, 0.000, 0.000], [0.500, 0.500, 0.000], [0.000, 0.500, 0.500]],
  "total_magnetization_mub_per_fu": 0.000,
  "dos_at_fermi_per_ev_fu": 4.5
}

***

Arrangement C

{
  "formula": "TcIr2Br",
  "functional": "GGA-PBE",
  "state": "relaxed",
  "lattice": [[4.875, -0.017, 0.000], [-1.702, 4.568, 0.000], [0.000, 0.000, 2.813]],
  "species": ["Ir", "Ir", "Br", "Tc"],
  "fractional_positions": [[0.000, 0.000, 0.000], [0.500, 0.500, 0.000], [0.000, 0.500, 0.500], [0.500, 0.000, 0.500]],
  "total_magnetization_mub_per_fu": 0.000,
  "dos_at_fermi_per_ev_fu": 4.6
}

***

Arrangement D

{
  "formula": "TcIr2Br",
  "functional": "GGA-PBE",
  "state": "relaxed",
  "lattice": [[-3.688, -5.006, -0.573], [2.489, -2.428, 5.187], [-3.779, -1.659, 4.796]],
  "species": ["Tc", "Ir", "Tc", "Br", "Ir", "Ir", "Ir", "Br"],
  "fractional_positions": [[0.750, 0.250, 0.500], [0.655, 0.125, 0.250], [0.000, 0.000, 0.000], [0.500, 0.500, 0.000], [0.095, 0.625, 0.250], [0.875, 0.905, 0.750], [0.375, 0.345, 0.750], [0.250, 0.750, 0.500]],
  "total_magnetization_mub_per_fu": 0.000,
  "dos_at_fermi_per_ev_fu": 2.4
}

***

We find arrangement A to be the most stable, with the next structure 25.1 kJ/mol of atoms higher.